Arrangement w

A geometry-optimized Mg2NiIrO6 structure. Source: Alexandria, functional PBE+U.

- M_tot: 0.60 μB per formula unit
- Crystal system: monoclinic

Unit cell a=5.1214 b=5.3145 c=9.1263 alpha=90.00 beta=123.88 gamma=90.00
Positions (direct):
Mg 0.2296 0.0592 0.2385
Mg 0.2296 0.4408 0.7385
Mg 0.7704 0.5592 0.2615
Mg 0.7704 0.9408 0.7615
Ni 0.0000 0.0000 0.5000
Ni 0.0000 0.5000 0.0000
Ir 0.5000 0.0000 0.0000
Ir 0.5000 0.5000 0.5000
O 0.1224 0.1776 0.9404
O 0.1224 0.3224 0.4404
O 0.2449 0.6937 0.9165
O 0.2449 0.8063 0.4165
O 0.3948 0.0765 0.7604
O 0.3948 0.4235 0.2604
O 0.6052 0.5765 0.7396
O 0.6052 0.9235 0.2396
O 0.7551 0.1937 0.5835
O 0.7551 0.3063 0.0835
O 0.8776 0.6776 0.5596
O 0.8776 0.8224 0.0596

Arrangement x

A geometry-optimized Mg2NiIrO6 structure. Source: Alexandria, functional PBE+U.

- M_tot: 1.00 μB per formula unit
- Crystal system: tetragonal

Unit cell a=5.3980 b=5.3980 c=4.5153 alpha=90.00 beta=90.00 gamma=90.00
Positions (direct):
Mg 0.0000 0.5000 0.0000
Mg 0.5000 0.0000 0.0000
Ni 0.0000 0.0000 0.6935
Ir 0.5000 0.5000 0.6949
O 0.0000 0.0000 0.2767
O 0.2565 0.2565 0.8250
O 0.2565 0.7435 0.8250
O 0.5000 0.5000 0.2993
O 0.7435 0.2565 0.8250
O 0.7435 0.7435 0.8250

The most stable arrangement is arrangement w, and the next structure is 0.361 eV/atom less stable.